[1]
Below is LiGaPd6 after structural relaxation, with properties calculated at the PBE-GGA level.

Values from the calculation:
- distance to the lowest polymorph of the same formula (meV per atom) = 0.0
- formation energy (meV per atom) = -351.1
- density of states at the Fermi level (states/eV per atom) = 1.0164
- final energy (eV per atom) = -4.86

a b c (Å): 3.9704 5.4822 5.4822
angles (deg): 90.19 90.00 90.00
Element x y z (fractional)
Pd: 0.5000 0.5000 0.0000
Li: 0.5000 0.5000 0.5000
Pd: 0.0000 0.2467 0.2467
Pd: 0.0000 0.7533 0.7533
Pd: 0.0000 0.2489 0.7511
Pd: 0.5000 0.0000 0.5000
Ga: 0.5000 0.0000 0.0000
Pd: 0.0000 0.7511 0.2489

[2]
Below is Li4Ga4Pd after structural relaxation, with properties calculated at the PBE-GGA level.

Values from the calculation:
- formation energy (meV per atom) = -359.3
- density of states at the Fermi level (states/eV per atom) = 0.3337
- final energy (eV per atom) = -3.13

a b c (Å): 3.9295 6.2079 6.2079
angles (deg): 84.25 71.55 71.55
Element x y z (fractional)
Li: 0.6644 0.6712 0.0000
Li: 0.6644 0.0000 0.6712
Ga: 0.0000 0.3244 0.6756
Pd: 0.0000 0.0000 0.0000
Ga: 0.6756 0.3244 0.3244
Li: 0.3356 0.3288 0.0000
Ga: 0.0000 0.6756 0.3244
Ga: 0.3244 0.6756 0.6756
Li: 0.3356 0.0000 0.3288

[3]
Below is LiGa8Pd6 after structural relaxation, with properties calculated at the PBE-GGA level.

Values from the calculation:
- distance to the lowest polymorph of the same formula (meV per atom) = 0.0
- formation energy (meV per atom) = -559.4
- density of states at the Fermi level (states/eV per atom) = 0.1412
- final energy (eV per atom) = -4.38

a b c (Å): 6.7517 6.7517 6.7517
angles (deg): 66.52 66.52 66.52
Element x y z (fractional)
Ga: 0.1995 0.5678 0.8759
Ga: 0.6665 0.6665 0.6665
Li: 0.0000 0.0000 0.0000
Ga: 0.8005 0.4322 0.1241
Ga: 0.1241 0.8005 0.4322
Ga: 0.5678 0.8759 0.1995
Pd: 0.9495 0.6107 0.2841
Pd: 0.6107 0.2841 0.9495
Pd: 0.0505 0.3893 0.7159
Pd: 0.7159 0.0505 0.3893
Pd: 0.3893 0.7159 0.0505
Ga: 0.8759 0.1995 0.5678
Ga: 0.3335 0.3335 0.3335
Pd: 0.2841 0.9495 0.6107
Ga: 0.4322 0.1241 0.8005

[4]
Below is Li3Ga2Pd after structural relaxation, with properties calculated at the PBE-GGA level.

Values from the calculation:
- distance to the lowest polymorph of the same formula (meV per atom) = 0.0
- formation energy (meV per atom) = -418.6
- density of states at the Fermi level (states/eV per atom) = 0.1929
- final energy (eV per atom) = -3.25

a b c (Å): 4.3970 4.3970 9.5713
angles (deg): 102.93 102.93 91.12
Element x y z (fractional)
Li: 0.2039 0.4548 0.4082
Li: 0.5452 0.7961 0.0918
Ga: 0.7072 0.9565 0.4151
Pd: 0.1240 0.8760 0.2500
Li: 0.4548 0.2039 0.9082
Li: 0.3746 0.6254 0.7500
Ga: 0.2928 0.0435 0.5849
Li: 0.7961 0.5452 0.5918
Ga: 0.9565 0.7072 0.9151
Pd: 0.8760 0.1240 0.7500
Ga: 0.0435 0.2928 0.0849
Li: 0.6254 0.3746 0.2500

[5]
Below is Li2Ga4Pd after structural relaxation, with properties calculated at the PBE-GGA level.

Values from the calculation:
- distance to the lowest polymorph of the same formula (meV per atom) = 0.0
- formation energy (meV per atom) = -261.9
- density of states at the Fermi level (states/eV per atom) = 0.5300
- final energy (eV per atom) = -3.28

a b c (Å): 6.6919 6.6919 6.6919
angles (deg): 109.27 109.88 109.27
Element x y z (fractional)
Li: 0.4847 0.3597 0.6250
Ga: 0.2921 0.2407 0.8748
Ga: 0.6340 0.7593 0.0514
Ga: 0.4579 0.0826 0.1986
Ga: 0.8014 0.2593 0.8840
Li: 0.8750 0.1403 0.5153
Pd: 0.7500 0.5000 0.2500
Ga: 0.1252 0.4174 0.3660
Ga: 0.1160 0.9174 0.3752
Ga: 0.9486 0.5826 0.7079
Pd: 0.0000 0.0000 0.0000
Li: 0.2653 0.6403 0.1250
Ga: 0.6248 0.7407 0.5421
Li: 0.3750 0.8597 0.7347

[6]
Below is Li4Ga3Pd after structural relaxation, with properties calculated at the PBE-GGA level.

Values from the calculation:
- distance to the lowest polymorph of the same formula (meV per atom) = 61.5
- formation energy (meV per atom) = -318.7
- density of states at the Fermi level (states/eV per atom) = 0.3113
- final energy (eV per atom) = -3.06

a b c (Å): 2.7411 4.3064 11.5133
angles (deg): 100.98 90.00 90.00
Element x y z (fractional)
Ga: 0.9998 0.1652 0.3291
Li: 0.5001 0.4007 0.7997
Ga: 0.5000 0.0000 0.0000
Ga: 0.0002 0.8348 0.6709
Pd: 0.0000 0.5000 0.0000
Li: 0.5003 0.2838 0.5674
Li: 0.4999 0.5993 0.2003
Li: 0.4997 0.7162 0.4326

[7]
Below is LiGa3Pd2 after structural relaxation, with properties calculated at the PBE-GGA level.

Values from the calculation:
- distance to the lowest polymorph of the same formula (meV per atom) = 17.4
- formation energy (meV per atom) = -492.9
- density of states at the Fermi level (states/eV per atom) = 0.2749
- final energy (eV per atom) = -4.06

a b c (Å): 4.1985 9.4003 8.4181
angles (deg): 117.60 90.00 102.90
Element x y z (fractional)
Ga: 0.7999 0.5998 0.6250
Ga: 0.0414 0.0827 0.3712
Pd: 0.4774 0.9548 0.1726
Ga: 0.2001 0.4002 0.3750
Ga: 0.6695 0.3391 0.8496
Li: 0.2188 0.4375 0.7342
Ga: 0.9586 0.9173 0.6288
Pd: 0.3582 0.7164 0.5049
Ga: 0.6161 0.2322 0.1566
Pd: 0.5226 0.0452 0.8274
Ga: 0.5000 0.0000 0.5000
Ga: 0.3305 0.6609 0.1504
Pd: 0.6418 0.2836 0.4951
Ga: 0.3839 0.7678 0.8434
Li: 0.0000 0.0000 0.0000
Li: 0.7812 0.5625 0.2658
Pd: 0.1684 0.3368 0.0328
Pd: 0.8316 0.6632 0.9672

[8]
Below is Li2GaPd4 after structural relaxation, with properties calculated at the PBE-GGA level.

Values from the calculation:
- distance to the lowest polymorph of the same formula (meV per atom) = 0.0
- formation energy (meV per atom) = -439.8
- density of states at the Fermi level (states/eV per atom) = 0.2709
- final energy (eV per atom) = -4.39

a b c (Å): 5.1287 5.1287 5.1287
angles (deg): 109.72 109.35 109.35
Element x y z (fractional)
Pd: 0.5000 0.5000 0.5000
Ga: 0.0000 0.0000 0.0000
Pd: 0.0000 0.0000 0.5000
Li: 0.5000 0.5000 0.0000
Li: 0.5000 0.0000 0.5000
Pd: 0.0000 0.5000 0.0000
Pd: 0.5000 0.0000 0.0000

[9]
Below is Li6Ga2Pd after structural relaxation, with properties calculated at the PBE-GGA level.

Values from the calculation:
- distance to the lowest polymorph of the same formula (meV per atom) = 0.0
- formation energy (meV per atom) = -332.8
- density of states at the Fermi level (states/eV per atom) = 0.4983
- final energy (eV per atom) = -2.86

a b c (Å): 5.1462 5.1482 5.1482
angles (deg): 96.77 96.71 96.71
Element x y z (fractional)
Pd: 0.0000 0.0000 0.0000
Ga: 0.6692 0.6694 0.6694
Li: 0.1648 0.8351 0.5002
Li: 0.5000 0.1649 0.8351
Li: 0.5000 0.8351 0.1649
Li: 0.1648 0.5002 0.8351
Ga: 0.3308 0.3306 0.3306
Li: 0.8352 0.4998 0.1649
Li: 0.8352 0.1649 0.4998

[10]
Below is Li2GaPd7 after structural relaxation, with properties calculated at the PBE-GGA level.

Values from the calculation:
- formation energy (meV per atom) = -49.0
- density of states at the Fermi level (states/eV per atom) = 0.7787
- final energy (eV per atom) = -4.37

a b c (Å): 2.7896 8.9122 8.9122
angles (deg): 130.32 90.00 90.00
Element x y z (fractional)
Ga: 0.0000 0.0000 0.0000
Pd: 0.5000 0.8953 0.7076
Pd: 0.5000 0.1047 0.2924
Pd: 0.5000 0.2924 0.1047
Li: 0.5000 0.3391 0.6609
Pd: 0.0000 0.7924 0.2076
Pd: 0.5000 0.7076 0.8953
Pd: 0.5000 0.5000 0.5000
Li: 0.5000 0.6609 0.3391
Pd: 0.0000 0.2076 0.7924

[11]
Below is Li3Ga6Pd2 after structural relaxation, with properties calculated at the PBE-GGA level.

Values from the calculation:
- distance to the lowest polymorph of the same formula (meV per atom) = 0.0
- formation energy (meV per atom) = -353.5
- density of states at the Fermi level (states/eV per atom) = 0.2851
- final energy (eV per atom) = -3.47

a b c (Å): 5.0503 5.0448 9.6160
angles (deg): 104.52 58.22 118.23
Element x y z (fractional)
Ga: 0.1584 0.4900 0.8314
Li: 0.3266 0.9866 0.6617
Ga: 0.6620 0.9895 0.8287
Li: 0.6734 0.0134 0.3383
Ga: 0.1748 0.3256 0.4997
Pd: 0.2776 0.5111 0.2328
Ga: 0.8416 0.5100 0.1686
Ga: 0.3380 0.0105 0.1713
Li: 0.0000 0.0000 0.0000
Ga: 0.8252 0.6744 0.5003
Pd: 0.7224 0.4889 0.7672

[12]
Below is Li3Ga7Pd2 after structural relaxation, with properties calculated at the PBE-GGA level.

Values from the calculation:
- formation energy (meV per atom) = -305.5
- density of states at the Fermi level (states/eV per atom) = 0.2267
- final energy (eV per atom) = -3.42

a b c (Å): 3.8764 4.1154 13.7545
angles (deg): 99.87 90.00 90.00
Element x y z (fractional)
Pd: 0.5000 0.6376 0.2641
Ga: 0.5000 0.9233 0.8470
Li: 0.0000 0.1754 0.3445
Li: 0.5000 0.5000 0.0000
Ga: 0.0000 0.0000 0.0000
Pd: 0.5000 0.3624 0.7359
Ga: 0.0000 0.5773 0.1453
Ga: 0.0000 0.4227 0.8547
Ga: 0.5000 0.2809 0.5538
Ga: 0.5000 0.0767 0.1530
Ga: 0.5000 0.7191 0.4462
Li: 0.0000 0.8246 0.6555